[1]
Computed, not measured: Nd2ErTl after structural relaxation at the PBE level of DFT.

Structure (CIF):
```
data_Nd2ErTl
_chemical_formula_sum 'Nd2 Er1 Tl1'
_cell_length_a 5.577
_cell_length_b 5.577
_cell_length_c 5.577
_cell_angle_alpha 60.00
_cell_angle_beta 60.00
_cell_angle_gamma 60.00
_symmetry_space_group_name_H-M 'P 1'
_symmetry_Int_Tables_number 1
loop_
_symmetry_equiv_pos_as_xyz
'x,y,z'
loop_
_atom_site_label
_atom_site_type_symbol
_atom_site_fract_x
_atom_site_fract_y
_atom_site_fract_z
Nd1 Nd 0.250 0.250 0.250
Nd2 Nd 0.750 0.750 0.750
Er1 Er 0.000 0.000 0.000
Tl1 Tl 0.500 0.500 0.500
```

Properties
Spin magnetization (μB per atom): 0.263
ΔE_f (meV/atom): -69.7
Density of states at the Fermi level (states/eV per cell): 6.23
Excess energy over the best structure of this formula in the dataset (kJ/mol of formula units): 39
Space-group type: No. 225



[2]
Computed, not measured: Nd5Er4Tl after structural relaxation at the PBE level of DFT.

Structure (CIF):
```
data_Nd5Er4Tl
_chemical_formula_sum 'Nd5 Er4 Tl1'
_cell_length_a 4.172
_cell_length_b 4.172
_cell_length_c 18.541
_cell_angle_alpha 90.00
_cell_angle_beta 90.00
_cell_angle_gamma 90.00
_symmetry_space_group_name_H-M 'P 1'
_symmetry_Int_Tables_number 1
loop_
_symmetry_equiv_pos_as_xyz
'x,y,z'
loop_
_atom_site_label
_atom_site_type_symbol
_atom_site_fract_x
_atom_site_fract_y
_atom_site_fract_z
Nd1 Nd 0.000 0.000 0.000
Nd2 Nd 0.000 0.000 0.204
Nd3 Nd 0.000 0.000 0.408
Nd4 Nd 0.000 0.000 0.592
Nd5 Nd 0.000 0.000 0.796
Er1 Er 0.500 0.500 0.102
Er2 Er 0.500 0.500 0.304
Er3 Er 0.500 0.500 0.696
Er4 Er 0.500 0.500 0.898
Tl1 Tl 0.500 0.500 0.500
```

Properties
Spin magnetization (μB per atom): 0.000
ΔE_f (meV/atom): 9.8
Density of states at the Fermi level (states/eV per cell): 16.80
Excess energy over the best structure of this formula in the dataset (kJ/mol of formula units): 0
Space-group type: No. 123



[3]
Computed, not measured: Nd7ErTl3 after structural relaxation at the PBE level of DFT.

Structure (CIF):
```
data_Nd7ErTl3
_chemical_formula_sum 'Nd7 Er1 Tl3'
_cell_length_a 8.436
_cell_length_b 8.436
_cell_length_c 5.982
_cell_angle_alpha 110.58
_cell_angle_beta 110.58
_cell_angle_gamma 92.27
_symmetry_space_group_name_H-M 'P 1'
_symmetry_Int_Tables_number 1
loop_
_symmetry_equiv_pos_as_xyz
'x,y,z'
loop_
_atom_site_label
_atom_site_type_symbol
_atom_site_fract_x
_atom_site_fract_y
_atom_site_fract_z
Nd1 Nd 0.000 0.000 0.000
Nd2 Nd 0.107 0.535 0.320
Nd3 Nd 0.332 0.332 0.833
Nd4 Nd 0.465 0.893 0.680
Nd5 Nd 0.535 0.107 0.320
Nd6 Nd 0.668 0.668 0.167
Nd7 Nd 0.893 0.465 0.680
Er1 Er 0.000 0.000 0.500
Tl1 Tl 0.262 0.738 0.000
Tl2 Tl 0.500 0.500 0.500
Tl3 Tl 0.738 0.262 0.000
```

Properties
Spin magnetization (μB per atom): 0.001
ΔE_f (meV/atom): -11.8
Density of states at the Fermi level (states/eV per cell): 16.03
Space-group type: No. 12



[4]
Computed, not measured: Nd12ErTl6 after structural relaxation at the PBE level of DFT.

Structure (CIF):
```
data_Nd12ErTl6
_chemical_formula_sum 'Nd12 Er1 Tl6'
_cell_length_a 8.427
_cell_length_b 8.427
_cell_length_c 8.427
_cell_angle_alpha 88.71
_cell_angle_beta 88.71
_cell_angle_gamma 88.71
_symmetry_space_group_name_H-M 'P 1'
_symmetry_Int_Tables_number 1
loop_
_symmetry_equiv_pos_as_xyz
'x,y,z'
loop_
_atom_site_label
_atom_site_type_symbol
_atom_site_fract_x
_atom_site_fract_y
_atom_site_fract_z
Nd1 Nd 0.080 0.384 0.121
Nd2 Nd 0.121 0.080 0.384
Nd3 Nd 0.192 0.563 0.471
Nd4 Nd 0.384 0.121 0.080
Nd5 Nd 0.437 0.529 0.808
Nd6 Nd 0.471 0.192 0.563
Nd7 Nd 0.529 0.808 0.437
Nd8 Nd 0.563 0.471 0.192
Nd9 Nd 0.616 0.879 0.920
Nd10 Nd 0.808 0.437 0.529
Nd11 Nd 0.879 0.920 0.616
Nd12 Nd 0.920 0.616 0.879
Er1 Er 0.000 0.000 0.000
Tl1 Tl 0.126 0.275 0.747
Tl2 Tl 0.253 0.874 0.725
Tl3 Tl 0.275 0.747 0.126
Tl4 Tl 0.725 0.253 0.874
Tl5 Tl 0.747 0.126 0.275
Tl6 Tl 0.874 0.725 0.253
```

Properties
Spin magnetization (μB per atom): 0.000
ΔE_f (meV/atom): -164.2
Density of states at the Fermi level (states/eV per cell): 19.14
Space-group type: No. 148